one.
DFT (PBE) results for crystalline SrBrN2F at its relaxed geometry.

Its space group is P4/mmm, No. 123. The value obtained for the density of states at the Fermi level is 2.47 states/eV/f.u. The total magnetization comes out at 0.9 μB/f.u.

a b c (Å): 3.9287 3.9287 5.0578
angles (deg): 90.00 90.00 90.00
Site moments in Bohr magnetons follow the coordinates.
Fractional positions:
Sr: 0.5000 0.5000 0.5000  0.00
N: 0.0000 0.5000 0.0000  0.28
N: 0.5000 0.0000 0.0000  0.28
Br: 0.0000 0.0000 0.0000  0.10
F: 0.0000 0.0000 0.5000  0.01

=====

two.
DFT (PBE) results for crystalline SrBrN2F at its relaxed geometry.

Its space group is P4/mmm, No. 123. The value obtained for the density of states at the Fermi level is 3.70 states/eV/f.u. The total magnetization comes out at 6.1 μB/f.u.

a b c (Å): 5.4687 5.4687 4.5072
angles (deg): 90.00 90.00 90.00
Site moments in Bohr magnetons follow the coordinates.
Fractional positions:
Sr: 0.0000 0.0000 0.0000  0.05
N: 0.0000 0.5000 0.0000  1.76
N: 0.5000 0.0000 0.0000  1.76
Br: 0.5000 0.5000 0.5000  0.53
F: 0.0000 0.0000 0.5000  0.02

=====

Bottom line: one, by a margin of 0.219 eV/atom.